No. 1
A plane-wave DFT calculation with GGA-PBE was carried out for a relaxed RbAsSe2O8 crystal.

Summary:
uncorrected energy: -5.2419 eV per atom
symmetry: No. 12
M_tot: 0.00 μB per cell
raw formation energy: -887.6 meV/atom

a b c (Å): 5.214 5.214 8.627
angles (deg): 85.70 85.70 65.63
Sites, in units of the cell vectors:
Rb 0.000 0.000 0.500
As 0.000 0.000 0.000
Se 0.627 0.627 0.199
Se 0.373 0.373 0.801
O 0.728 0.242 0.817
O 0.761 0.761 0.046
O 0.692 0.692 0.372
O 0.308 0.308 0.628
O 0.239 0.239 0.954
O 0.242 0.728 0.817
O 0.758 0.272 0.183
O 0.272 0.758 0.183

=====

No. 2
A plane-wave DFT calculation with GGA-PBE was carried out for a relaxed RbAs2SeO8 crystal.

Summary:
uncorrected energy: -5.4608 eV per atom
symmetry: No. 12
M_tot: 0.00 μB per cell
raw formation energy: -1009.4 meV/atom

a b c (Å): 4.996 4.996 8.669
angles (deg): 85.74 85.74 66.05
Sites, in units of the cell vectors:
Rb 0.000 0.000 0.500
As 0.631 0.631 0.187
As 0.369 0.369 0.813
Se 0.000 0.000 0.000
O 0.752 0.244 0.836
O 0.768 0.768 0.022
O 0.688 0.688 0.365
O 0.312 0.312 0.635
O 0.232 0.232 0.978
O 0.244 0.752 0.836
O 0.756 0.248 0.164
O 0.248 0.756 0.164